Density functional theory data (PBE) for crystalline PtAu2 at its relaxed geometry.

It has space group P-62m (No. 189), with a = 8.0028 Å, b = 8.0028 Å, c = 2.8262 Å, α = 90.00°, β = 90.00° and γ = 120.00°. Symmetry generates all atoms from Pt at (0.0000, 0.0000, 0.0000), Pt at (0.3333, 0.6667, 0.5000), Au at (0.0000, 0.3058, 0.5000) and Au at (0.0000, 0.6370, 0.0000).

The calculation puts the uncorrected energy at -36.990 eV for the cell shown. The value obtained for the excess energy over the best structure of this formula in the dataset is 0.0622 eV per atom. For the magnetization, the calculation gives 0.000 μB/f.u. Its energy relative to the elements is 89 meV per atom. The value obtained for the density of states at the Fermi level is 0.41 states/eV per atom. The crystal system is hexagonal.